A plane-wave DFT calculation with PBE-GGA was carried out for a geometry-optimized KAcPbO4 structure.

Total magnetization (μB/f.u.): 0.0
Space-group type: Imma, No. 74
Energy (eV per atom): -5.915

Cell lengths 6.7321, 7.2384, 7.2384 Å; angles 65.16, 62.29, 62.29 degrees
Last column: nearest neighbours and their distance in Å.
Fractional positions:
K  0.5000  0.0000  0.5000  6 O 2.66-2.74
K  0.0000  0.0000  0.5000  6 O 2.66-2.74
Ac  0.0000  0.0000  0.0000  6 O 2.49-2.54
Ac  0.0000  0.5000  0.5000  6 O 2.49-2.54
Pb  0.6397  0.6103  0.1103  4 O 2.10-2.17
Pb  0.3603  0.3897  0.8897  4 O 2.10-2.17
O  0.7559  0.7167  0.7715  1 Pb 2.10
O  0.2441  0.7285  0.7833  1 Pb 2.10
O  0.7559  0.2715  0.2167  1 Pb 2.10
O  0.2441  0.2833  0.2285  1 Pb 2.10
O  0.2544  0.7381  0.2381  1 Pb 2.17
O  0.7694  0.7381  0.2381  1 Pb 2.17
O  0.2306  0.2619  0.7619  1 Pb 2.17
O  0.7456  0.2619  0.7619  1 Pb 2.17